# ThAlZn2Pd4

A relaxed ThAlZn2Pd4 crystal (PBE, Alexandria via LeMat-Bulk).

Summary:
energy of formation from the pure elements: -0.70 eV per atom
N(E_F): 3.382 states/eV/f.u.
SG: R-3m, No. 166
total moment: 0.00 μB/f.u.

a b c (Å): 4.3192 4.3192 8.9640
angles (deg): 76.06 76.06 60.00
Sites, in units of the cell vectors:
Th1 0.0000 0.0000 0.0000
Al1 0.5000 0.5000 0.5000
Zn1 0.7608 0.7608 0.7177
Zn2 0.2392 0.2392 0.2823
Pd1 0.4005 0.4005 0.7985
Pd2 0.8666 0.8666 0.4001
Pd3 0.1334 0.1334 0.5999
Pd4 0.5995 0.5995 0.2015

***

# Ti5AlPd8

A relaxed Ti5AlPd8 crystal (PBE, Alexandria via LeMat-Bulk).

Summary:
energy of formation from the pure elements: -0.43 eV per atom
N(E_F): 11.172 states/eV/f.u.
SG: I-4, No. 82
total moment: 0.00 μB/f.u.

a b c (Å): 6.6724 6.6724 6.6724
angles (deg): 108.60 111.23 108.60
Sites, in units of the cell vectors:
Ti1 0.0010 0.3016 0.0960
Ti2 0.9040 0.9050 0.2056
Ti3 0.7944 0.6984 0.6994
Ti4 0.5000 0.0000 0.5000
Ti5 0.3006 0.0950 0.9990
Al1 0.2500 0.5000 0.7500
Pd1 0.1287 0.6873 0.0492
Pd2 0.9508 0.0795 0.6381
Pd3 0.7530 0.2762 0.3578
Pd4 0.6422 0.3952 0.9184
Pd5 0.5232 0.6048 0.2470
Pd6 0.5586 0.9205 0.8713
Pd7 0.3619 0.3127 0.4414
Pd8 0.0816 0.7238 0.4768

***

# Ti3AlPd2

A relaxed Ti3AlPd2 crystal (PBE, Alexandria via LeMat-Bulk).

Summary:
energy of formation from the pure elements: -0.51 eV per atom
N(E_F): 6.448 states/eV/f.u.
SG: P2/m, No. 10
total moment: 0.00 μB/f.u.

a b c (Å): 3.9181 8.2656 7.3797
angles (deg): 124.06 105.52 89.99
Sites, in units of the cell vectors:
Ti1 0.5000 0.2500 0.0000
Ti2 0.5000 0.7500 0.0000
Ti3 0.8289 0.0792 0.6582
Ti4 0.1711 0.4208 0.3418
Ti5 0.1711 0.9208 0.3418
Ti6 0.8289 0.5792 0.6582
Al1 0.0000 0.5000 0.0000
Al2 0.0000 0.0000 0.0000
Pd1 0.3383 0.3383 0.6766
Pd2 0.6617 0.1617 0.3234
Pd3 0.3383 0.8383 0.6766
Pd4 0.6617 0.6617 0.3234

***

# Ti2AlPd4

A relaxed Ti2AlPd4 crystal (PBE, Alexandria via LeMat-Bulk).

Summary:
energy of formation from the pure elements: -0.52 eV per atom
energy above the lowest structure with this stoichiometry: 77 meV per atom
N(E_F): 6.619 states/eV/f.u.
SG: P2_1/m, No. 11
total moment: 0.00 μB/f.u.

a b c (Å): 6.3954 5.1849 7.3600
angles (deg): 90.00 113.64 90.00
Sites, in units of the cell vectors:
Ti1 0.7818 0.7500 0.0174
Ti2 0.2182 0.2500 0.9826
Ti3 0.3468 0.2500 0.4406
Ti4 0.6532 0.7500 0.5594
Al1 0.2478 0.7500 0.1973
Al2 0.7522 0.2500 0.8027
Pd1 0.5968 0.4956 0.2361
Pd2 0.0513 0.7500 0.8212
Pd3 0.9487 0.2500 0.1788
Pd4 0.5968 0.0044 0.2361
Pd5 0.9490 0.2500 0.5766
Pd6 0.4032 0.9956 0.7639
Pd7 0.4032 0.5044 0.7639
Pd8 0.0510 0.7500 0.4234